The following is a meta-GGA SCAN calculation of a PBEsol-optimized structure of SrCdP2, from the Alexandria database.

Its size of the total moment is 0.0 μB per cell. Its energy is -291.95 eV/cell. For the density of states at the Fermi level, the calculation gives 9.8 states/eV/cell. The value obtained for the formation energy is 0.1248 eV per atom.

The structure belongs to space group F-43m (No. 216); the cell edges are 6.9808, 6.9808 and 6.9808 Å and the angles 90.00°, 90.00° and 90.00°. Symmetry generates all atoms from Sr at (0.0000, 0.0000, 0.0000), Cd at (0.2500, 0.2500, 0.2500), P at (0.0000, 0.0000, 0.5000) and P at (0.2500, 0.2500, 0.7500).